1.
First-principles (PBE) data for Ac2PrTl3Te6 after structural relaxation, as listed in Alexandria.

## Properties
As for the symmetry: C2/m (12). The value obtained for the total moment is 0.0 μB per cell. The formation energy without anion corrections is -108.2 kJ/mol of atoms.

Unit cell a=8.2153 b=8.2153 c=8.6088 alpha=99.16 beta=99.16 gamma=119.97
Positions (direct):
Te1 0.7522 0.7522 0.2275
Te2 0.0751 0.3990 0.2255
Te3 0.2478 0.2478 0.7725
Te4 0.6010 0.9249 0.7745
Te5 0.9249 0.6010 0.7745
Te6 0.3990 0.0751 0.2255
Tl1 0.5000 0.5000 0.5000
Tl2 0.1681 0.8319 0.5000
Tl3 0.8319 0.1681 0.5000
Ac1 0.6664 0.3336 0.0000
Ac2 0.3336 0.6664 0.0000
Pr1 0.0000 0.0000 0.0000

***

2.
First-principles (PBE) data for Ac2PrTmTe5 after structural relaxation, as listed in Alexandria.

## Properties
As for the symmetry: P4/mmm (123). The value obtained for the total moment is 0.0 μB per cell. The formation energy without anion corrections is -101.5 kJ/mol of atoms.

Unit cell a=5.4521 b=5.4521 c=11.8565 alpha=90.00 beta=90.00 gamma=90.00
Positions (direct):
Te1 0.5000 0.5000 0.0000
Te2 0.0000 0.5000 0.5000
Te3 0.0000 0.0000 0.2509
Te4 0.5000 0.0000 0.5000
Te5 0.0000 0.0000 0.7491
Ac1 0.5000 0.5000 0.7008
Ac2 0.5000 0.5000 0.2992
Pr1 0.0000 0.0000 0.0000
Tm1 0.0000 0.0000 0.5000

***

3.
First-principles (PBE) data for Ac3Pr3TmTe8 after structural relaxation, as listed in Alexandria.

## Properties
As for the symmetry: R-3m (166). The value obtained for the total moment is 0.0 μB per cell. The formation energy without anion corrections is -141.5 kJ/mol of atoms.

Unit cell a=9.1468 b=9.1463 c=9.2766 alpha=119.54 beta=90.00 gamma=120.00
Positions (direct):
Pr1 0.5000 0.0000 0.5000
Pr2 0.5000 0.5000 0.5000
Pr3 0.0000 0.5000 0.5000
Tm1 0.0000 0.0000 0.5000
Ac1 0.0000 0.0000 0.0000
Ac2 0.5000 0.5000 0.0000
Ac3 0.0000 0.5000 0.0000
Te1 0.2479 0.0074 0.2670
Te2 0.7461 0.4922 0.7383
Te3 0.2405 0.4809 0.7330
Te4 0.2404 0.9926 0.7330
Te5 0.7595 0.5191 0.2670
Te6 0.2539 0.5078 0.2617
Te7 0.7596 0.0074 0.2670
Te8 0.7521 0.9926 0.7330